Compound: TiNiO2F
Source: the Alexandria database
Functional: PBE with a Hubbard U
Structure: optimized geometry

Unit cell a=3.8019 b=3.8019 c=3.6269 alpha=90.00 beta=90.00 gamma=90.00
Space group P4/mmm (No. 123)
Unique sites:
Ti 0.0000 0.0000 0.0000 x1
Ni 0.5000 0.5000 0.5000 x1
O 0.0000 0.5000 0.5000 x2
F 0.5000 0.5000 0.0000 x1

Properties
**N(E_F)**: 1.3374 states/eV per atom
**DFT total energy**: -27.00 eV/f.u.